This record from Alexandria via LeMat-Bulk describes a geometry-optimized Co2MoPdN structure. The functional is PBE.

Cell and atoms, written as POSCAR:
```
Co2MoPdN
1.0
3.847 0.000 0.000
0.000 3.847 0.000
0.000 0.000 4.039
N Co Mo Pd
1 2 1 1
direct
0.000 0.000 0.000 N
0.500 0.000 0.000 Co
0.000 0.500 0.000 Co
0.000 0.000 0.500 Mo
0.500 0.500 0.500 Pd
```

DFT total energy: -7.7221 eV/atom
Formation energy (no corrections): -0.0098 eV/atom
Symmetry: P4/mmm
Total moment: 2.30 μB/cell